(1)
This record from Alexandria via LeMat-Bulk describes a relaxed LaZrNb2 crystal. The functional is PBE.

Geometry as POSCAR:
```
LaZrNb2
1.0
7.908 0.000 0.000
0.000 7.908 0.000
0.000 0.000 5.985
La Zr Nb
4 4 8
Direct
0.000 0.000 0.000 La
0.000 0.500 0.250 La
0.500 0.000 0.750 La
0.500 0.500 0.500 La
0.000 0.000 0.500 Zr
0.000 0.500 0.750 Zr
0.500 0.000 0.250 Zr
0.500 0.500 0.000 Zr
0.240 0.250 0.625 Nb
0.250 0.740 0.875 Nb
0.250 0.760 0.375 Nb
0.260 0.250 0.125 Nb
0.740 0.750 0.125 Nb
0.750 0.240 0.375 Nb
0.750 0.260 0.875 Nb
0.760 0.750 0.625 Nb
```

Results
**Electronic total energy**: -7.629 eV per atom
**Magnetization**: 0.0000 μB per atom
**Formation enthalpy at 0 K**: 75 kJ/mol of atoms
**Symmetry**: I-42d (122)


(2)
This record from Alexandria via LeMat-Bulk describes a relaxed La2ZrNb crystal. The functional is PBE.

Geometry as POSCAR:
```
La2ZrNb
1.0
7.504 0.000 0.000
0.000 7.504 0.000
0.000 0.000 7.504
La Zr Nb
8 4 4
Direct
0.250 0.250 0.250 La
0.250 0.250 0.750 La
0.250 0.750 0.250 La
0.250 0.750 0.750 La
0.750 0.250 0.250 La
0.750 0.250 0.750 La
0.750 0.750 0.250 La
0.750 0.750 0.750 La
0.000 0.000 0.000 Zr
0.000 0.500 0.500 Zr
0.500 0.000 0.500 Zr
0.500 0.500 0.000 Zr
0.000 0.000 0.500 Nb
0.000 0.500 0.000 Nb
0.500 0.000 0.000 Nb
0.500 0.500 0.500 Nb
```

Results
**Electronic total energy**: -6.659 eV per atom
**Magnetization**: 0.0001 μB per atom
**Formation enthalpy at 0 K**: 44 kJ/mol of atoms
**Symmetry**: Fm-3m (225)